Crystalline OsRu2 at its relaxed geometry, computed with PBE-GGA.

Structure (extended XYZ):
```
6
Lattice="4.9323 -1.3669 0.0000 4.9323 1.3669 0.0000 -1.5156 0.0000 6.2329" Properties=species:S:1:pos:R:3 pbc="T T T"
Os -0.1867 0.0000 1.9074
Os 8.5358 0.0000 4.3254
Ru 2.4746 0.0000 2.2556
Ru 2.0940 0.0000 6.0631
Ru 6.2550 0.0000 0.1697
Ru 5.8744 0.0000 3.9773
```

Results
ΔE_f	-0.01	eV per atom
magnetic moment	0.00	μB per formula unit
total energy	-9.936	eV per atom
calculated density	15.50	g cm⁻³
distance to the lowest polymorph of the same formula	1	meV per atom
DOS(E_F)	0.75	states/eV/atom

Crystalline Pm3Pd2Au3 at its relaxed geometry, computed with PBE-GGA.

Structure (extended XYZ):
```
32
Lattice="7.5226 0.0000 0.0000 0.0000 17.3704 0.0000 0.0000 0.0000 5.6135" Properties=species:S:1:pos:R:3 pbc="T T T"
Pm 0.2501 1.8189 0.7211
Pm 0.2501 6.8663 0.7211
Pm 1.2181 4.3426 3.6167
Pm 2.5432 13.0278 0.8100
Pm 3.5112 10.5041 3.5279
Pm 3.5112 15.5515 3.5279
Pm 4.0114 1.8189 2.0856
Pm 4.0114 6.8663 2.0856
Pm 4.9794 4.3426 4.8035
Pm 6.3045 13.0278 1.9967
Pm 7.2725 10.5041 4.8923
Pm 7.2725 15.5515 4.8923
Pd 0.8652 10.8247 2.0630
Pd 0.8652 15.2309 2.0630
Pd 2.8961 2.1395 4.8697
Pd 2.8961 6.5457 4.8697
Pd 4.6265 10.8247 0.7437
Pd 4.6265 15.2309 0.7437
Pd 6.6574 2.1395 3.5505
Pd 6.6574 6.5457 3.5505
Au 1.3956 0.4643 3.2873
Au 1.3956 8.2209 3.2873
Au 1.4227 13.0278 3.7087
Au 2.3386 4.3426 0.9020
Au 2.3657 9.1495 0.4806
Au 2.3657 16.9061 0.4806
Au 5.1569 0.4643 5.1329
Au 5.1569 8.2209 5.1329
Au 5.1840 13.0278 4.7115
Au 6.0999 4.3426 1.9048
Au 6.1270 9.1495 2.3262
Au 6.1270 16.9061 2.3262
```

Results
ΔE_f	-0.80	eV per atom
magnetic moment	0.00	μB per formula unit
total energy	-5.113	eV per atom
calculated density	11.22	g cm⁻³
distance to the lowest polymorph of the same formula	16	meV per atom
DOS(E_F)	0.58	states/eV/atom

Crystalline Ta4Ti4Nb3 at its relaxed geometry, computed with PBE-GGA.

Structure (extended XYZ):
```
11
Lattice="2.8470 0.0000 0.0000 -0.0026 4.6627 0.0000 -0.7629 -2.3269 14.7643" Properties=species:S:1:pos:R:3 pbc="T T T"
Ta 0.4221 1.1675 0.6854
Ta 0.4344 3.4966 4.7188
Ta 1.6471 -1.1607 10.0455
Ta 1.6594 1.1683 14.0789
Ti 0.4949 1.1738 8.7377
Ti 0.5814 -1.1621 12.7493
Ti 1.5001 3.4979 2.0150
Ti 1.5866 1.1620 6.0266
Nb -0.3814 -1.1634 7.3821
Nb -0.3688 1.1704 11.4053
Nb 2.4503 1.1654 3.3590
```

Results
ΔE_f	0.02	eV per atom
magnetic moment	0.00	μB per formula unit
total energy	-9.906	eV per atom
calculated density	10.12	g cm⁻³
DOS(E_F)	1.57	states/eV/atom

Crystalline Rb3Ga2Bi3 at its relaxed geometry, computed with PBE-GGA.

Structure (extended XYZ):
```
16
Lattice="2.4213 -7.5014 0.0000 2.4213 7.5014 0.0000 0.0000 0.0000 16.9008" Properties=species:S:1:pos:R:3 pbc="T T T"
Rb 2.4213 6.4938 10.2993
Rb 2.4213 6.4938 15.0519
Rb 2.4213 2.1566 12.6756
Rb 2.4213 -2.1566 4.2252
Rb 2.4213 -6.4938 1.8489
Rb 2.4213 -6.4938 6.6015
Ga 2.4213 3.9114 1.5714
Ga 2.4213 3.9114 6.8790
Ga 2.4213 -3.9114 10.0218
Ga 2.4213 -3.9114 15.3294
Bi 2.4213 2.5658 4.2252
Bi 2.4213 2.1411 9.2149
Bi 2.4213 2.1411 16.1363
Bi 2.4213 -2.1411 0.7645
Bi 2.4213 -2.1411 7.6859
Bi 2.4213 -2.5658 12.6756
```

Results
ΔE_f	-0.24	eV per atom
magnetic moment	0.00	μB per formula unit
total energy	-2.816	eV per atom
calculated density	5.53	g cm⁻³
DOS(E_F)	0.26	states/eV/atom

Crystalline Y2B6Rh9 at its relaxed geometry, computed with PBE-GGA.

Structure (extended XYZ):
```
17
Lattice="5.6129 0.0000 0.0000 -2.8065 4.8609 0.0000 0.0000 0.0000 8.5718" Properties=species:S:1:pos:R:3 pbc="T T T"
Y 0.0000 0.0000 1.7687
Y 0.0000 0.0000 6.8032
B 0.0000 3.2406 1.4329
B 0.0000 3.2406 4.2859
B 0.0000 3.2406 7.1389
B 2.8065 1.6203 1.4329
B 2.8065 1.6203 4.2859
B 2.8065 1.6203 7.1389
Rh -1.4032 2.4305 0.0000
Rh -1.4032 2.4305 2.8787
Rh -1.4032 2.4305 5.6932
Rh 2.8065 0.0000 0.0000
Rh 2.8065 0.0000 2.8787
Rh 2.8065 0.0000 5.6932
Rh 1.4032 2.4305 0.0000
Rh 1.4032 2.4305 2.8787
Rh 1.4032 2.4305 5.6932
```

Results
ΔE_f	-0.64	eV per atom
magnetic moment	0.00	μB per formula unit
total energy	-7.647	eV per atom
calculated density	8.30	g cm⁻³
DOS(E_F)	0.15	states/eV/atom

Crystalline AlAgBr4 at its relaxed geometry, computed with PBE-GGA.

Structure (extended XYZ):
```
6
Lattice="0.0000 4.5539 4.5539 4.5539 0.0000 4.5539 4.5539 4.5539 0.0000" Properties=species:S:1:pos:R:3 pbc="T T T"
Al 0.0000 0.0000 0.0000
Ag 2.2770 2.2770 2.2770
Br 5.6905 3.4173 3.4173
Br 3.4173 5.6905 3.4173
Br 3.4173 3.4173 5.6905
Br 5.6905 5.6905 5.6905
```

Results
ΔE_f (raw)	549	meV per atom
magnetic moment	1.76	μB per formula unit
total energy	-1.665	eV per atom
calculated density	4.00	g cm⁻³
distance to the lowest polymorph of the same formula	1434	meV per atom
DOS(E_F)	0.72	states/eV/atom

Crystalline CePr3Pt8 at its relaxed geometry, computed with PBE-GGA.

Structure (extended XYZ):
```
12
Lattice="2.7640 1.5958 9.0310 -2.7640 1.5958 9.0310 0.0000 -3.1916 9.0310" Properties=species:S:1:pos:R:3 pbc="T T T"
Ce 0.0000 0.0000 0.0000
Pr 0.0000 0.0000 3.3874
Pr 0.0000 0.0000 13.5683
Pr 0.0000 0.0000 16.9618
Pt 0.0000 -1.5983 6.2319
Pt -1.3819 -0.7978 10.7293
Pt -1.3842 0.7992 6.2319
Pt 0.0000 0.0000 8.4836
Pt 1.3819 -0.7978 10.7293
Pt 0.0000 1.5956 10.7293
Pt 1.3842 0.7992 6.2319
Pt 0.0000 0.0000 22.0265
```

Results
ΔE_f	-1.03	eV per atom
magnetic moment	0.82	μB per formula unit
total energy	-6.746	eV per atom
calculated density	14.75	g cm⁻³
DOS(E_F)	0.70	states/eV/atom

Crystalline LiScMo2 at its relaxed geometry, computed with PBE-GGA.

Structure (extended XYZ):
```
8
Lattice="-1.8725 1.8725 9.9041 1.8725 -1.8725 9.9041 1.8725 1.8725 -9.9041" Properties=species:S:1:pos:R:3 pbc="T T T"
Li 0.0000 0.0000 0.0000
Li 0.0000 1.8725 4.9521
Sc 1.8725 0.0000 4.9521
Sc 0.0000 0.0000 9.9041
Mo 0.9363 -0.9116 7.4281
Mo 0.9609 0.9363 2.4760
Mo 0.9363 2.7841 -2.4760
Mo 0.9116 0.9363 12.3802
```

Results
ΔE_f	0.54	eV per atom
magnetic moment	0.00	μB per formula unit
total energy	-6.940	eV per atom
calculated density	5.83	g cm⁻³
distance to the lowest polymorph of the same formula	354	meV per atom
DOS(E_F)	0.62	states/eV/atom

Crystalline KBa2Ir at its relaxed geometry, computed with PBE-GGA.

Structure (extended XYZ):
```
4
Lattice="4.3694 0.0000 0.0000 0.0000 4.3694 0.0000 0.0000 0.0000 11.4930" Properties=species:S:1:pos:R:3 pbc="T T T"
K 0.0000 0.0000 0.0000
Ba 0.0000 0.0000 6.8680
Ba 2.1847 2.1847 3.5745
Ir 2.1847 2.1847 6.2804
```

Results
ΔE_f	0.19	eV per atom
magnetic moment	0.43	μB per formula unit
total energy	-3.256	eV per atom
calculated density	3.83	g cm⁻³
distance to the lowest polymorph of the same formula	240	meV per atom
DOS(E_F)	0.57	states/eV/atom

Crystalline BaTc2Au at its relaxed geometry, computed with PBE-GGA.

Structure (extended XYZ):
```
4
Lattice="3.0811 0.0000 0.0000 0.0000 5.1287 0.0000 0.0000 0.0000 5.2733" Properties=species:S:1:pos:R:3 pbc="T T T"
Ba 0.0000 0.0000 0.0000
Tc 0.0000 2.5643 2.6367
Tc 1.5405 0.0000 2.6367
Au 1.5405 2.5643 0.0000
```

Results
ΔE_f	1.02	eV per atom
magnetic moment	0.81	μB per formula unit
total energy	-5.464	eV per atom
calculated density	10.57	g cm⁻³
distance to the lowest polymorph of the same formula	779	meV per atom
DOS(E_F)	1.02	states/eV/atom

Crystalline Tb5DyYEr2 at its relaxed geometry, computed with PBE-GGA.

Structure (extended XYZ):
```
18
Lattice="2.7954 -9.9709 0.0000 2.7954 9.9709 0.0000 0.0000 0.0000 10.5240" Properties=species:S:1:pos:R:3 pbc="T T T"
Tb 2.7954 9.6294 5.2620
Tb 2.7954 4.3845 8.2835
Tb 2.7954 3.9911 1.9545
Tb 2.7954 2.2074 5.2732
Tb 2.7954 0.4173 2.2835
Tb 2.7954 -0.4173 7.5455
Tb 2.7954 -2.2074 0.0113
Tb 2.7954 -3.9911 7.2165
Tb 2.7954 -4.3845 3.0215
Tb 2.7954 -9.6294 0.0000
Dy 2.7954 5.9975 5.1472
Dy 2.7954 -5.9975 10.4092
Y 2.7954 1.7585 9.8162
Y 2.7954 -1.7585 4.5543
Er 2.7954 7.7637 2.2597
Er 2.7954 7.7052 8.3519
Er 2.7954 -7.7052 3.0899
Er 2.7954 -7.7637 7.5216
```

Results
ΔE_f	0.16	eV per atom
magnetic moment	0.00	μB per formula unit
total energy	-4.656	eV per atom
calculated density	7.82	g cm⁻³
DOS(E_F)	1.67	states/eV/atom

Crystalline KZr2Sc at its relaxed geometry, computed with PBE-GGA.

Structure (extended XYZ):
```
4
Lattice="1.7113 -2.6323 0.0000 1.7113 2.6323 0.0000 0.0000 0.0000 12.1595" Properties=species:S:1:pos:R:3 pbc="T T T"
K 0.0000 0.0000 0.0000
Zr 1.7113 0.0000 3.4980
Zr 1.7113 0.0000 8.6615
Sc 0.0000 0.0000 6.0798
```

Results
ΔE_f	0.45	eV per atom
magnetic moment	0.00	μB per formula unit
total energy	-5.684	eV per atom
calculated density	4.04	g cm⁻³
distance to the lowest polymorph of the same formula	117	meV per atom
DOS(E_F)	1.32	states/eV/atom

Crystalline PrCd4Au2 at its relaxed geometry, computed with PBE-GGA.

Structure (extended XYZ):
```
14
Lattice="8.6283 0.0000 0.0000 0.0000 8.6283 0.0000 0.0000 0.0000 4.3859" Properties=species:S:1:pos:R:3 pbc="T T T"
Pr 0.0000 0.0000 0.0000
Pr 4.3142 4.3142 2.1930
Cd 0.8418 2.9824 2.1930
Cd 1.3318 5.1560 0.0000
Cd 2.9824 0.8418 2.1930
Cd 3.4723 7.2966 0.0000
Cd 5.1560 1.3318 0.0000
Cd 5.6459 7.7865 2.1930
Cd 7.2966 3.4723 0.0000
Cd 7.7865 5.6459 2.1930
Au 1.6046 7.0237 2.1930
Au 2.7095 2.7095 0.0000
Au 5.9188 5.9188 0.0000
Au 7.0237 1.6046 2.1930
```

Results
ΔE_f	-0.36	eV per atom
magnetic moment	0.00	μB per formula unit
total energy	-2.504	eV per atom
calculated density	10.01	g cm⁻³
distance to the lowest polymorph of the same formula	0	meV per atom
DOS(E_F)	0.63	states/eV/atom

Crystalline ThInSe2N at its relaxed geometry, computed with PBE-GGA.

Structure (extended XYZ):
```
10
Lattice="4.1246 0.0000 0.0000 0.0000 4.1246 0.0000 0.0000 0.0000 13.6785" Properties=species:S:1:pos:R:3 pbc="T T T"
Th 1.0312 1.0312 1.1538
Th 3.0935 3.0935 12.5246
In 1.0312 1.0312 8.3428
In 3.0935 3.0935 5.3356
Se 1.0312 1.0312 5.6521
Se 1.0312 1.0312 10.9049
Se 3.0935 3.0935 2.7736
Se 3.0935 3.0935 8.0263
N 1.0312 3.0935 0.0000
N 3.0935 1.0312 0.0000
```

Results
ΔE_f (raw)	-1210	meV per atom
magnetic moment	0.00	μB per formula unit
total energy	-6.301	eV per atom
calculated density	7.40	g cm⁻³
DOS(E_F)	0.02	states/eV/atom

Crystalline Au5Br4 at its relaxed geometry, computed with PBE-GGA.

Structure (extended XYZ):
```
9
Lattice="-5.7389 5.7389 1.8833 5.7389 -5.7389 1.8833 5.7389 5.7389 -1.8833" Properties=species:S:1:pos:R:3 pbc="T T T"
Au 0.0000 0.0000 0.0000
Au 3.5659 3.5659 0.0000
Au 2.1730 -2.1730 1.8833
Au -2.1730 2.1730 1.8833
Au 2.1730 2.1730 1.8833
Br 2.7768 0.0000 0.0000
Br 8.7010 0.0000 0.0000
Br 0.0000 2.7768 0.0000
Br 0.0000 8.7010 0.0000
```

Results
ΔE_f (raw)	252	meV per atom
magnetic moment	0.00	μB per formula unit
total energy	-2.312	eV per atom
calculated density	8.73	g cm⁻³
distance to the lowest polymorph of the same formula	0	meV per atom
DOS(E_F)	0.15	states/eV/atom

Crystalline PrZnSnHg at its relaxed geometry, computed with PBE-GGA.

Structure (extended XYZ):
```
4
Lattice="0.0000 3.6773 3.6773 3.6773 0.0000 3.6773 3.6773 3.6773 0.0000" Properties=species:S:1:pos:R:3 pbc="T T T"
Pr 0.0000 0.0000 0.0000
Zn 5.5159 5.5159 5.5159
Sn 3.6773 3.6773 3.6773
Hg 1.8386 1.8386 1.8386
```

Results
ΔE_f	-0.29	eV per atom
magnetic moment	0.00	μB per formula unit
total energy	-2.875	eV per atom
calculated density	8.78	g cm⁻³
DOS(E_F)	0.82	states/eV/atom

Crystalline CdSbRuRh at its relaxed geometry, computed with PBE-GGA.

Structure (extended XYZ):
```
4
Lattice="0.0000 3.2306 3.2306 3.2306 0.0000 3.2306 3.2306 3.2306 0.0000" Properties=species:S:1:pos:R:3 pbc="T T T"
Cd 0.0000 0.0000 0.0000
Sb 3.2306 3.2306 3.2306
Ru 4.8458 4.8458 4.8458
Rh 1.6153 1.6153 1.6153
```

Results
ΔE_f (raw)	-60	meV per atom
magnetic moment	0.00	μB per formula unit
total energy	-5.476	eV per atom
calculated density	10.79	g cm⁻³
DOS(E_F)	0.55	states/eV/atom

Crystalline SmHo2Pu3Te6 at its relaxed geometry, computed with PBE-GGA.

Structure (extended XYZ):
```
12
Lattice="9.5898 -2.1943 0.0000 9.5898 2.1943 0.0000 -1.9733 0.0000 8.5922" Properties=species:S:1:pos:R:3 pbc="T T T"
Sm 0.0000 0.0000 0.0000
Ho 5.0906 0.0000 5.7151
Ho 12.1156 0.0000 2.8771
Pu -0.9867 0.0000 4.2961
Pu 6.0982 0.0000 1.4177
Pu 11.1081 0.0000 7.1745
Te 3.0476 0.0000 0.7702
Te 2.0896 0.0000 4.9930
Te 8.0715 0.0000 6.4200
Te 9.1348 0.0000 2.1722
Te 15.1166 0.0000 3.5992
Te 14.1586 0.0000 7.8220
```

Results
ΔE_f (raw)	-1213	meV per atom
magnetic moment	5.93	μB per formula unit
total energy	-7.523	eV per atom
calculated density	9.08	g cm⁻³
DOS(E_F)	2.86	states/eV/atom

Crystalline Y4ErTm7 at its relaxed geometry, computed with PBE-GGA.

Structure (extended XYZ):
```
12
Lattice="5.9812 -2.9024 0.0000 5.9812 2.9024 0.0000 -5.9146 0.0000 11.1000" Properties=species:S:1:pos:R:3 pbc="T T T"
Y -1.1776 0.0000 3.5732
Y 2.9915 0.0000 2.4912
Y 3.0563 0.0000 8.6088
Y 7.2254 0.0000 7.5268
Er 5.9812 0.0000 0.0000
Tm 0.0000 0.0000 0.0000
Tm -2.9206 0.0000 10.2672
Tm -1.0835 0.0000 7.5787
Tm 1.4163 0.0000 5.5305
Tm 4.6315 0.0000 5.5695
Tm 7.1313 0.0000 3.5213
Tm 8.9683 0.0000 0.8328
```

Results
ΔE_f	0.30	eV per atom
magnetic moment	0.48	μB per formula unit
total energy	-4.842	eV per atom
calculated density	7.35	g cm⁻³
DOS(E_F)	1.76	states/eV/atom

Crystalline AlAg2Te at its relaxed geometry, computed with PBE-GGA.

Structure (extended XYZ):
```
4
Lattice="4.4258 0.0000 0.0000 0.0000 4.4258 0.0000 0.0000 0.0000 4.3299" Properties=species:S:1:pos:R:3 pbc="T T T"
Al 0.0000 0.0000 0.0000
Ag 0.0000 2.2129 2.1649
Ag 2.2129 0.0000 2.1649
Te 2.2129 2.2129 0.0000
```

Results
ΔE_f (raw)	150	meV per atom
magnetic moment	0.00	μB per formula unit
total energy	-2.997	eV per atom
calculated density	7.25	g cm⁻³
distance to the lowest polymorph of the same formula	106	meV per atom
DOS(E_F)	0.26	states/eV/atom